Density functional theory data (GGA-PBE) for a relaxed LiFeMoRh crystal.

Lattice parameters (Å, degrees): 4.1846 4.1846 4.1846 60.00 60.00 60.00
Fractional positions:
Li: 0.0000 0.0000 0.0000
Mo: 0.5000 0.5000 0.5000
Fe: 0.7500 0.7500 0.7500
Rh: 0.2500 0.2500 0.2500

Computed properties:
Total moment ... 0.00 μB/f.u.
Calculated total energy ... -7.10 eV per atom
SG ... F-43m (216)